DFT (PBE-GGA) results for crystalline UBeV at its relaxed geometry.

Lattice parameters (Å, degrees): 2.7460 3.9763 16.2265 90.00 90.00 90.00
Space group Imma (No. 74)
Asymmetric unit:
U: 0.0000 0.2500 0.0513 x4
Be: 0.0000 0.2500 0.2998 x4
V: 0.0000 0.2500 0.8147 x4

Calculated volume   14.8 Å³ per atom
Relative energy among the computed polymorphs   0 meV per atom
Calculated formation energy   0.23 eV per atom
Theoretical density   11.17 Mg/m³

=====

DFT (PBE-GGA) results for crystalline K2Hg4Ge at its relaxed geometry.

Lattice parameters (Å, degrees): 5.3290 5.3290 18.3365 90.00 90.00 90.00
Space group I4/mmm (No. 139)
Asymmetric unit:
K: 0.0000 0.0000 0.1395 x4
Hg: 0.0000 0.0000 0.3279 x4
Hg: 0.0000 0.5000 0.0000 x4
Ge: 0.0000 0.0000 0.5000 x2

Calculated volume   37.2 Å³ per atom
Calculated formation energy   -0.05 eV per atom
Theoretical density   6.08 Mg/m³

=====

DFT (PBE-GGA) results for crystalline Tb5Nd3Dy at its relaxed geometry.

Lattice parameters (Å, degrees): 20.2576 6.1847 11.6058 90.00 122.29 90.00
Space group C2/c (No. 15)
Asymmetric unit:
Tb: 0.0000 0.0638 0.2500 x4
Tb: 0.1393 0.1831 0.6450 x8
Tb: 0.1780 0.2989 0.3350 x8
Nd: 0.0000 0.5000 0.0000 x4
Nd: 0.1806 0.2782 0.0328 x8
Dy: 0.0000 0.4259 0.7500 x4

Calculated volume   34.1 Å³ per atom
Relative energy among the computed polymorphs   0 meV per atom
Calculated formation energy   0.29 eV per atom
Theoretical density   7.51 Mg/m³

=====

DFT (PBE-GGA) results for crystalline CaMn2Cl6 at its relaxed geometry.

Lattice parameters (Å, degrees): 6.6533 6.6533 17.8632 90.00 90.00 120.00
Space group R3 (No. 146, hexagonal axes)
Asymmetric unit:
Ca: 0.0000 0.0000 0.0000 x3
Mn: 0.0000 0.0000 0.4955 x3
Mn: 0.0000 0.0000 0.6821 x3
Cl: 0.0014 0.7066 0.5893 x9
Cl: 0.0111 0.3351 0.4223 x9

Calculated volume   25.4 Å³ per atom
Relative energy among the computed polymorphs   2 meV per atom
Theoretical density   2.64 Mg/m³

=====

DFT (PBE-GGA) results for crystalline RbZrB at its relaxed geometry.

Lattice parameters (Å, degrees): 3.9065 5.1481 11.8871 90.00 97.64 90.00
Space group Pm (No. 6)
Asymmetric unit:
Rb: 0.0000 0.0000 0.0000 x1
Rb: 0.2590 0.5000 0.4161 x1
Zr: 0.3658 0.0000 0.6799 x1
Zr: 0.8753 0.5000 0.7038 x1
B: 0.8275 0.1557 0.5850 x2

Calculated volume   39.5 Å³ per atom
Relative energy among the computed polymorphs   421 meV per atom
Calculated formation energy   0.42 eV per atom
Theoretical density   2.63 Mg/m³

=====

DFT (PBE-GGA) results for crystalline RbTl3W at its relaxed geometry.

Lattice parameters (Å, degrees): 6.1972 6.1972 6.1972 90.00 90.00 90.00
Space group Pm-3m (No. 221)
Asymmetric unit:
Rb: 0.0000 0.0000 0.0000 x1
Tl: 0.0000 0.0000 0.5000 x3
W: 0.5000 0.5000 0.5000 x1

Calculated volume   47.6 Å³ per atom
Relative energy among the computed polymorphs   1602 meV per atom
Calculated formation energy   2.03 eV per atom
Theoretical density   6.16 Mg/m³

=====

DFT (PBE-GGA) results for crystalline K2SnSbPd6 at its relaxed geometry.

Lattice parameters (Å, degrees): 6.8737 6.8838 6.9599 60.43 60.58 60.05
Space group P-1 (No. 2)
Asymmetric unit:
K: 0.1998 0.1992 0.4017 x2
Sn: 0.5000 0.5000 0.5000 x1
Sb: 0.0000 0.0000 0.0000 x1
Pd: 0.1688 0.3257 0.8817 x2
Pd: 0.3250 0.6235 0.8822 x2
Pd: 0.3773 0.8309 0.1172 x2

Calculated volume   23.5 Å³ per atom
Energy   -4.4625 eV per atom
Theoretical density   6.77 Mg/m³

=====

DFT (PBE-GGA) results for crystalline TbP2IrRu at its relaxed geometry.

Lattice parameters (Å, degrees): 4.0230 4.0230 9.7617 90.00 90.00 90.00
Space group I-4m2 (No. 119)
Asymmetric unit:
Tb: 0.0000 0.0000 0.0000 x2
P: 0.0000 0.0000 0.3819 x4
Ir: 0.0000 0.5000 0.2500 x2
Ru: 0.0000 0.5000 0.7500 x2

Calculated volume   15.8 Å³ per atom
Calculated formation energy   -0.97 eV per atom
Theoretical density   10.81 Mg/m³